(1)
This record from Alexandria via LeMat-Bulk describes an optimized crystal structure of Ir5Os3. The functional is PBE.

ΔE_f, meV/atom: 36
N(E_F), states/eV/cell: 6.48
Raw total energy, eV per atom: -9.713

The structure in extended XYZ format:
```
8
Lattice="5.4722 -0.0049 0.0000 -0.0308 5.4721 0.0000 0.0000 0.0000 3.8546" Properties=species:S:1:pos:R:3 pbc="T T T"
Os 2.7207 2.7336 0.0000
Os 4.0711 4.0905 1.9273
Os 1.3702 1.3767 1.9273
Ir -0.0154 2.7361 0.0000
Ir 4.0862 1.3745 1.9273
Ir 2.7361 -0.0025 0.0000
Ir 1.3552 4.0927 1.9273
Ir 0.0000 0.0000 0.0000
```

(2)
This record from Alexandria via LeMat-Bulk describes an optimized crystal structure of CsNiHg2Au. The functional is PBE.

ΔE_f, meV/atom: -64
N(E_F), states/eV/cell: 1.17
Raw total energy, eV per atom: -2.167

The structure in extended XYZ format:
```
5
Lattice="-2.8196 -3.7285 2.3214 3.5916 -0.3695 3.7690 -2.5261 3.6307 2.7631" Properties=species:S:1:pos:R:3 pbc="T T T"
Hg -1.4098 -1.8643 1.1607
Hg 1.7958 -0.1847 1.8845
Cs -0.8771 -0.2337 4.4268
Ni 0.0000 0.0000 0.0000
Au -1.2631 1.8153 1.3816
```

(3)
This record from Alexandria via LeMat-Bulk describes an optimized crystal structure of Sm6Dy5Th. The functional is PBE.

ΔE_f, meV/atom: 29
N(E_F), states/eV/cell: 17.38
Raw total energy, eV per atom: -4.867

The structure in extended XYZ format:
```
12
Lattice="-2.3153 4.4429 -0.8243 -9.0262 -4.6352 0.4565 5.4065 1.3432 7.6873" Properties=species:S:1:pos:R:3 pbc="T T T"
Sm -3.5965 1.8955 4.7333
Sm 0.9273 4.2181 4.5050
Sm -6.8623 -3.0672 2.8145
Sm -2.3386 -0.7446 2.5862
Sm -3.3938 1.0732 -0.2985
Sm -2.5412 0.0777 7.6180
Dy -5.7585 0.3210 2.3310
Dy -0.1765 0.8299 4.9885
Dy -4.6908 -1.4816 5.2622
Dy -4.5131 -2.3176 0.2283
Dy -1.2442 2.6325 2.0573
Th 0.0000 0.0000 0.0000
```